# V3BiAu

A relaxed V3BiAu crystal (PBE, the Alexandria database).

N(E_F) ... 8.8 states/eV per cell
Space-group type ... Pm-3m (221)
ΔE_f ... 1119 meV per atom
Distance to the lowest polymorph of the same formula ... 0 meV/atom

a b c (Å): 4.891 4.891 4.891
angles (deg): 90.00 90.00 90.00
Atoms (fractional coordinates):
1 V 0.000 0.000 0.500
2 V 0.000 0.500 0.000
3 V 0.500 0.000 0.000
4 Bi 0.500 0.500 0.500
5 Au 0.000 0.000 0.000



# YHgAu2

A relaxed YHgAu2 crystal (PBE, the Alexandria database).

N(E_F) ... 1.9 states/eV per cell
Space-group type ... C2 (5)
ΔE_f ... -544 meV per atom

a b c (Å): 4.543 4.543 5.218
angles (deg): 115.54 115.54 89.72
Atoms (fractional coordinates):
1 Y 0.000 0.000 0.000
2 Hg 0.747 0.253 0.500
3 Au 0.253 0.747 0.500
4 Au 0.499 0.501 0.000



# CsK3O2

A relaxed CsK3O2 crystal (PBE, the Alexandria database).

Space-group type ... R-3m (166)
Formation energy from raw total energies ... -0.9523 eV per atom

a b c (Å): 6.728 6.728 6.728
angles (deg): 89.87 89.87 89.87
Atoms (fractional coordinates):
1 Cs 0.249 0.249 0.249
2 Cs 0.751 0.751 0.751
3 K 0.250 0.250 0.749
4 K 0.250 0.749 0.250
5 K 0.251 0.750 0.750
6 K 0.749 0.250 0.250
7 K 0.750 0.251 0.750
8 K 0.750 0.750 0.251
9 O 0.000 0.000 0.000
10 O 0.000 0.500 0.500
11 O 0.500 0.000 0.500
12 O 0.500 0.500 0.000



# HfHgTeO6

A relaxed HfHgTeO6 crystal (PBE, the Alexandria database).

Space-group type ... P-31c (163)
Formation energy from raw total energies ... -1.6215 eV per atom

a b c (Å): 5.439 5.439 9.847
angles (deg): 90.00 90.00 120.00
Atoms (fractional coordinates):
1 Hf 0.333 0.667 0.250
2 Hf 0.667 0.333 0.750
3 Hg 0.000 0.000 0.000
4 Hg 0.000 0.000 0.500
5 Te 0.333 0.667 0.750
6 Te 0.667 0.333 0.250
7 O 0.019 0.382 0.640
8 O 0.019 0.637 0.860
9 O 0.363 0.382 0.860
10 O 0.363 0.981 0.640
11 O 0.382 0.019 0.140
12 O 0.382 0.363 0.360
13 O 0.618 0.637 0.640
14 O 0.618 0.981 0.860
15 O 0.637 0.019 0.360
16 O 0.637 0.618 0.140
17 O 0.981 0.363 0.140
18 O 0.981 0.618 0.360



# Pm4SbTeAs2

A relaxed Pm4SbTeAs2 crystal (PBE, the Alexandria database).

N(E_F) ... 1.5 states/eV per cell
Space-group type ... P2/m (10)
Formation energy from raw total energies ... -1.4586 eV per atom

a b c (Å): 7.517 4.340 7.604
angles (deg): 90.00 109.15 90.00
Atoms (fractional coordinates):
1 Pm 0.239 0.000 0.227
2 Pm 0.253 0.500 0.769
3 Pm 0.747 0.500 0.231
4 Pm 0.761 0.000 0.773
5 Sb 0.000 0.000 0.500
6 Te 0.500 0.500 0.500
7 As 0.000 0.500 0.000
8 As 0.500 0.000 0.000



# AgAu2

A relaxed AgAu2 crystal (PBE, the Alexandria database).

N(E_F) ... 0.6 states/eV per cell
Space-group type ... Immm (71)
ΔE_f ... -41 meV per atom
Distance to the lowest polymorph of the same formula ... 0 meV/atom

a b c (Å): 5.106 5.106 5.106
angles (deg): 146.71 131.93 59.72
Atoms (fractional coordinates):
1 Ag 0.000 0.000 0.000
2 Au 0.334 0.334 0.000
3 Au 0.666 0.666 0.000



# ZnBrCl4

A relaxed ZnBrCl4 crystal (PBE, the Alexandria database).

N(E_F) ... 5.4 states/eV per cell
Space-group type ... F-43m (216)
Formation energy from raw total energies ... 0.6320 eV per atom
Distance to the lowest polymorph of the same formula ... 1144 meV/atom

a b c (Å): 5.821 5.821 5.821
angles (deg): 60.00 60.00 60.00
Atoms (fractional coordinates):
1 Zn 0.000 0.000 0.000
2 Br 0.750 0.750 0.750
3 Cl 0.375 0.375 0.375
4 Cl 0.375 0.375 0.876
5 Cl 0.375 0.876 0.375
6 Cl 0.876 0.375 0.375



# SmHoPdRh

A relaxed SmHoPdRh crystal (PBE, the Alexandria database).

N(E_F) ... 2.5 states/eV per cell
Space-group type ... Amm2 (38)
ΔE_f ... -843 meV per atom
Distance to the lowest polymorph of the same formula ... 0 meV/atom

a b c (Å): 4.476 5.630 5.630
angles (deg): 38.79 90.00 90.00
Atoms (fractional coordinates):
1 Sm 0.000 0.000 0.000
2 Ho 0.500 0.722 0.722
3 Pd 0.500 0.442 0.442
4 Rh 0.000 0.267 0.267



# LaVMo

A relaxed LaVMo crystal (PBE, the Alexandria database).

N(E_F) ... 9.7 states/eV per cell
Space-group type ... P4/nmm (129)
ΔE_f ... 333 meV per atom

a b c (Å): 4.197 4.197 8.073
angles (deg): 90.00 90.00 90.00
Atoms (fractional coordinates):
1 La 0.250 0.250 0.172
2 La 0.750 0.750 0.828
3 V 0.250 0.250 0.675
4 V 0.750 0.750 0.325
5 Mo 0.250 0.750 0.500
6 Mo 0.750 0.250 0.500



# Tb4PmNd

A relaxed Tb4PmNd crystal (PBE, the Alexandria database).

N(E_F) ... 16.4 states/eV per cell
Space-group type ... Cmcm (63)
ΔE_f ... 242 meV per atom
Distance to the lowest polymorph of the same formula ... 226 meV/atom

a b c (Å): 6.945 6.945 9.778
angles (deg): 90.00 90.00 121.49
Atoms (fractional coordinates):
1 Tb 0.135 0.340 0.750
2 Tb 0.155 0.845 0.571
3 Tb 0.155 0.845 0.929
4 Tb 0.340 0.135 0.250
5 Tb 0.660 0.865 0.750
6 Tb 0.845 0.155 0.071
7 Tb 0.845 0.155 0.429
8 Tb 0.865 0.660 0.250
9 Pm 0.500 0.500 0.000
10 Pm 0.500 0.500 0.500
11 Nd 0.321 0.679 0.250
12 Nd 0.679 0.321 0.750



# Ta2OsPb

A relaxed Ta2OsPb crystal (PBE, the Alexandria database).

N(E_F) ... 2.3 states/eV per cell
Space-group type ... Cm (8)
ΔE_f ... 367 meV per atom

a b c (Å): 5.214 5.214 5.020
angles (deg): 104.68 104.68 34.96
Atoms (fractional coordinates):
1 Ta 0.000 0.000 0.000
2 Ta 0.749 0.749 0.247
3 Os 0.466 0.466 0.435
4 Pb 0.226 0.226 0.729



# K4MgIn4

A relaxed K4MgIn4 crystal (PBE, the Alexandria database).

N(E_F) ... 4.3 states/eV per cell
Space-group type ... I-42m (121)
ΔE_f ... 142 meV per atom

a b c (Å): 9.209 9.209 9.209
angles (deg): 136.70 136.70 62.89
Atoms (fractional coordinates):
1 K 0.206 0.206 0.630
2 K 0.424 0.794 0.000
3 K 0.576 0.576 0.370
4 K 0.794 0.424 0.000
5 Mg 0.000 0.000 0.000
6 In 0.003 0.003 0.665
7 In 0.338 0.338 0.335
8 In 0.662 0.997 0.000
9 In 0.997 0.662 0.000



# TlNiSe2

A relaxed TlNiSe2 crystal (PBE, the Alexandria database).

N(E_F) ... 2.7 states/eV per cell
Space-group type ... P4/mmm (123)
Formation energy from raw total energies ... 0.4163 eV per atom

a b c (Å): 5.062 5.062 3.239
angles (deg): 90.00 90.00 90.00
Atoms (fractional coordinates):
1 Tl 0.000 0.000 0.000
2 Ni 0.500 0.500 0.000
3 Se 0.000 0.500 0.500
4 Se 0.500 0.000 0.500



# RbMgHg2Pb

A relaxed RbMgHg2Pb crystal (PBE, the Alexandria database).

N(E_F) ... 3.9 states/eV per cell
Space-group type ... P4/mmm (123)
ΔE_f ... -29 meV per atom

a b c (Å): 5.677 5.677 5.584
angles (deg): 90.00 90.00 90.00
Atoms (fractional coordinates):
1 Rb 0.000 0.000 0.000
2 Mg 0.500 0.500 0.500
3 Hg 0.000 0.500 0.500
4 Hg 0.500 0.000 0.500
5 Pb 0.500 0.500 0.000



# Th2SiGePt6

A relaxed Th2SiGePt6 crystal (PBE, the Alexandria database).

N(E_F) ... 7.7 states/eV per cell
Space-group type ... Pmmn (59)
Formation energy from raw total energies ... -0.9766 eV per atom

a b c (Å): 5.534 8.506 8.518
angles (deg): 90.00 90.00 90.00
Atoms (fractional coordinates):
1 Th 0.250 0.001 0.236
2 Th 0.250 0.499 0.236
3 Th 0.750 0.501 0.764
4 Th 0.750 0.999 0.764
5 Si 0.250 0.750 0.754
6 Si 0.750 0.250 0.246
7 Ge 0.250 0.250 0.774
8 Ge 0.750 0.750 0.226
9 Pt 0.001 0.250 0.495
10 Pt 0.002 0.750 0.984
11 Pt 0.250 0.001 0.620
12 Pt 0.250 0.499 0.620
13 Pt 0.498 0.750 0.984
14 Pt 0.499 0.250 0.495
15 Pt 0.501 0.750 0.505
16 Pt 0.502 0.250 0.016
17 Pt 0.750 0.501 0.380
18 Pt 0.750 0.999 0.380
19 Pt 0.998 0.250 0.016
20 Pt 0.999 0.750 0.505



# ReTe2OsI

A relaxed ReTe2OsI crystal (PBE, the Alexandria database).

N(E_F) ... 5.7 states/eV per cell
Space-group type ... P4/mmm (123)
Formation energy from raw total energies ... 1.7169 eV per atom
Distance to the lowest polymorph of the same formula ... 0 meV/atom

a b c (Å): 5.190 5.190 5.483
angles (deg): 90.00 90.00 90.00
Atoms (fractional coordinates):
1 Re 0.000 0.000 0.000
2 Te 0.000 0.500 0.500
3 Te 0.500 0.000 0.500
4 Os 0.500 0.500 0.500
5 I 0.500 0.500 0.000



# Si2TeAs2

A relaxed Si2TeAs2 crystal (PBE, the Alexandria database).

N(E_F) ... 2.3 states/eV per cell
Space-group type ... I4/mmm (139)
Formation energy from raw total energies ... 0.2516 eV per atom
Distance to the lowest polymorph of the same formula ... 0 meV/atom

a b c (Å): 5.583 5.583 5.583
angles (deg): 129.89 129.89 73.58
Atoms (fractional coordinates):
1 Si 0.138 0.138 0.000
2 Si 0.862 0.862 0.000
3 Te 0.500 0.500 0.000
4 As 0.250 0.750 0.500
5 As 0.750 0.250 0.500



# IrOsAu2

A relaxed IrOsAu2 crystal (PBE, the Alexandria database).

N(E_F) ... 4.1 states/eV per cell
Space-group type ... C2/m (12)
ΔE_f ... 526 meV per atom
Distance to the lowest polymorph of the same formula ... 290 meV/atom

a b c (Å): 4.904 4.904 4.904
angles (deg): 99.48 99.48 33.38
Atoms (fractional coordinates):
1 Ir 0.000 0.000 0.000
2 Os 0.500 0.500 0.500
3 Au 0.248 0.248 0.748
4 Au 0.752 0.752 0.252



# Ta4MoW2

A relaxed Ta4MoW2 crystal (PBE, the Alexandria database).

N(E_F) ... 5.1 states/eV per cell
Space-group type ... I4/mmm (139)
ΔE_f ... 253 meV per atom
Distance to the lowest polymorph of the same formula ... 0 meV/atom

a b c (Å): 5.540 5.540 5.540
angles (deg): 109.32 109.32 109.78
Atoms (fractional coordinates):
1 Ta 0.000 0.000 0.500
2 Ta 0.000 0.500 0.000
3 Ta 0.500 0.000 0.000
4 Ta 0.500 0.500 0.500
5 Mo 0.000 0.000 0.000
6 W 0.000 0.500 0.500
7 W 0.500 0.000 0.500



# BeV2B

A relaxed BeV2B crystal (PBE, the Alexandria database).

N(E_F) ... 3.0 states/eV per cell
Space-group type ... R-3m (166)
ΔE_f ... -56 meV per atom
Distance to the lowest polymorph of the same formula ... 0 meV/atom

a b c (Å): 5.810 5.810 5.810
angles (deg): 29.87 29.87 29.87
Atoms (fractional coordinates):
1 Be 0.000 0.000 0.000
2 V 0.239 0.239 0.239
3 V 0.761 0.761 0.761
4 B 0.500 0.500 0.500



The records above give, respectively, VASP energy values of -28.9 -15.5 -39.6 -115.5 -47.2 -9.5 -6.5 -25.2 -47.8 -53.2 -37.2 -15.7 -13.5 -7.0 -141.8 -22.9 -22.0 -24.5 -82.4 -28.9 eV per cell.